## V3TcMo (PBE)

Data for crystalline V3TcMo at its relaxed geometry.

## Properties
Magnetic moment ... 0.00 μB per cell
Crystal system ... monoclinic
Symmetry ... C2/c, No. 15
E_form ... 0.63 eV/f.u.
Polymorph energy (0 for the lowest one) ... 376 meV per atom

```
20
Lattice="6.396 -4.034 0.000 6.396 4.034 0.000 -0.338 0.000 5.671" Properties=species:S:1:pos:R:3 pbc="T T T"
V 1.911 0.433 0.364
V 5.428 2.025 3.351
V 1.742 -0.433 3.199
V 4.186 0.603 5.241
V 6.856 2.025 5.155
V 4.355 -0.603 2.406
V 8.098 0.603 3.265
V 5.597 -2.025 0.516
V 8.267 -0.603 0.430
V 10.711 0.433 2.472
V 7.025 -2.025 2.320
V 10.542 -0.433 5.307
Tc 6.311 3.403 1.418
Tc 6.311 0.562 1.418
Tc 6.142 -0.562 4.253
Tc 6.142 -3.403 4.253
Mo 3.532 1.861 1.612
Mo 9.090 1.861 1.223
Mo 3.363 -1.861 4.448
Mo 8.921 -1.861 4.058
```